1.
## SnAu4 (PBE)

Data for a relaxed SnAu4 crystal.

Computed properties:
- calculated formation energy (eV per atom) = 0.677
- DOS at the Fermi energy (states/eV/atom) = 0.38

POSCAR file:
```
SnAu4
1.0
5.155 0.000 0.000
0.000 5.155 0.000
0.000 0.000 5.155
Sn Au
1 4
Direct
0.000 0.000 0.000 Sn
0.000 0.000 0.500 Au
0.000 0.500 0.000 Au
0.500 0.000 0.000 Au
0.500 0.500 0.500 Au
```


2.
## SnAu7 (PBE)

Data for a relaxed SnAu7 crystal.

Computed properties:
- calculated formation energy (eV per atom) = 0.001
- ΔE to the lowest computed polymorph (meV per atom) = 22
- DOS at the Fermi energy (states/eV/atom) = 0.49

POSCAR file:
```
SnAu7
1.0
0.000 4.218 4.218
4.218 0.000 4.218
4.218 4.218 0.000
Sn Au
1 7
Direct
0.000 0.000 0.000 Sn
0.000 0.000 0.500 Au
0.000 0.500 0.000 Au
0.000 0.500 0.500 Au
0.500 0.000 0.000 Au
0.500 0.000 0.500 Au
0.500 0.500 0.000 Au
0.500 0.500 0.500 Au
```


3.
## Sn3Au7 (PBE)

Data for a relaxed Sn3Au7 crystal.

Computed properties:
- calculated formation energy (eV per atom) = -0.072
- DOS at the Fermi energy (states/eV/atom) = 0.34

POSCAR file:
```
Sn3Au7
1.0
9.724 -1.945 0.000
9.724 1.945 0.000
-1.596 0.000 5.506
Sn Au
3 7
Direct
0.000 0.000 0.000 Sn
0.204 0.204 0.704 Sn
0.796 0.796 0.296 Sn
0.000 0.000 0.500 Au
0.184 0.184 0.187 Au
0.402 0.402 0.160 Au
0.406 0.406 0.653 Au
0.594 0.594 0.347 Au
0.598 0.598 0.840 Au
0.816 0.816 0.813 Au
```


- Which value of DOS at the Fermi energy does entry 1 give?
  0.38 states/eV/atom


- Among the records above, which one has the lowest DOS at the Fermi energy?
  Sn3Au7


- What is the calculated formation energy in the first record?
  0.677 eV per atom


- What is the calculated formation energy in the first record?
  0.677 eV per atom